[1]
KNb5Pb2O15 after structural relaxation, computed with GGA-PBEsol.

Energy above the lowest structure with this stoichiometry = 0.002 eV/atom
Energy relative to the elements, uncorrected = -2309 meV per atom

a = 3.936 Å, b = 12.749 Å, c = 12.932 Å
α = 90.00°, β = 90.00°, γ = 90.00°
Fractional coordinates of all 46 atoms:
K: 0.000 0.084 0.000
K: 0.000 0.916 0.500
Nb: 0.500 0.034 0.255
Nb: 0.500 0.171 0.542
Nb: 0.500 0.245 0.833
Nb: 0.500 0.330 0.116
Nb: 0.500 0.463 0.402
Nb: 0.500 0.537 0.902
Nb: 0.500 0.670 0.616
Nb: 0.500 0.755 0.333
Nb: 0.500 0.829 0.042
Nb: 0.500 0.966 0.755
Pb: 0.000 0.244 0.315
Pb: 0.000 0.380 0.609
Pb: 0.000 0.620 0.109
Pb: 0.000 0.756 0.815
O: 0.000 0.049 0.266
O: 0.000 0.185 0.553
O: 0.000 0.246 0.846
O: 0.000 0.323 0.145
O: 0.000 0.448 0.429
O: 0.000 0.552 0.929
O: 0.000 0.677 0.645
O: 0.000 0.754 0.346
O: 0.000 0.815 0.053
O: 0.000 0.951 0.766
O: 0.500 0.035 0.623
O: 0.500 0.091 0.842
O: 0.500 0.111 0.410
O: 0.500 0.184 0.209
O: 0.500 0.247 0.998
O: 0.500 0.253 0.687
O: 0.500 0.323 0.498
O: 0.500 0.384 0.279
O: 0.500 0.404 0.843
O: 0.500 0.466 0.058
O: 0.500 0.534 0.558
O: 0.500 0.596 0.343
O: 0.500 0.616 0.779
O: 0.500 0.677 0.998
O: 0.500 0.747 0.187
O: 0.500 0.753 0.498
O: 0.500 0.816 0.709
O: 0.500 0.889 0.910
O: 0.500 0.909 0.342
O: 0.500 0.965 0.123

=====

[2]
KNb5Pb2O15 after structural relaxation, computed with GGA-PBEsol.

Energy above the lowest structure with this stoichiometry = 0.000 eV/atom
Energy relative to the elements, uncorrected = -2311 meV per atom

a = 3.934 Å, b = 12.853 Å, c = 12.853 Å
α = 88.28°, β = 90.00°, γ = 90.00°
Fractional coordinates of all 46 atoms:
K: 0.000 0.000 0.000
K: 0.000 0.340 0.340
Nb: 0.500 0.088 0.458
Nb: 0.500 0.179 0.179
Nb: 0.500 0.239 0.886
Nb: 0.500 0.381 0.595
Nb: 0.500 0.458 0.088
Nb: 0.500 0.595 0.381
Nb: 0.500 0.670 0.670
Nb: 0.500 0.747 0.953
Nb: 0.500 0.886 0.239
Nb: 0.500 0.953 0.747
Pb: 0.000 0.157 0.665
Pb: 0.000 0.450 0.800
Pb: 0.000 0.665 0.157
Pb: 0.000 0.800 0.450
O: 0.000 0.102 0.483
O: 0.000 0.184 0.184
O: 0.000 0.264 0.880
O: 0.000 0.389 0.615
O: 0.000 0.483 0.102
O: 0.000 0.615 0.389
O: 0.000 0.677 0.677
O: 0.000 0.754 0.981
O: 0.000 0.880 0.264
O: 0.000 0.981 0.754
O: 0.500 0.025 0.179
O: 0.500 0.050 0.618
O: 0.500 0.111 0.822
O: 0.500 0.177 0.337
O: 0.500 0.179 0.025
O: 0.500 0.249 0.538
O: 0.500 0.329 0.750
O: 0.500 0.337 0.177
O: 0.500 0.397 0.958
O: 0.500 0.464 0.464
O: 0.500 0.521 0.683
O: 0.500 0.538 0.249
O: 0.500 0.618 0.050
O: 0.500 0.676 0.833
O: 0.500 0.683 0.521
O: 0.500 0.750 0.329
O: 0.500 0.822 0.111
O: 0.500 0.833 0.676
O: 0.500 0.889 0.889
O: 0.500 0.958 0.397

=====

[3]
K2PrNb5O15 after structural relaxation, computed with GGA-PBEsol.

Energy relative to the elements, uncorrected = -2639 meV per atom

a = 12.673 Å, b = 12.673 Å, c = 3.935 Å
α = 90.00°, β = 90.00°, γ = 90.00°
Fractional coordinates of all 46 atoms:
K: 0.170 0.330 0.000
K: 0.330 0.830 0.000
K: 0.670 0.170 0.000
K: 0.830 0.670 0.000
Pr: 0.000 0.000 0.000
Pr: 0.500 0.500 0.000
Nb: 0.000 0.500 0.500
Nb: 0.077 0.787 0.500
Nb: 0.213 0.077 0.500
Nb: 0.287 0.577 0.500
Nb: 0.423 0.287 0.500
Nb: 0.500 0.000 0.500
Nb: 0.577 0.713 0.500
Nb: 0.713 0.423 0.500
Nb: 0.787 0.923 0.500
Nb: 0.923 0.213 0.500
O: 0.000 0.500 0.000
O: 0.001 0.342 0.500
O: 0.059 0.132 0.500
O: 0.080 0.811 0.000
O: 0.132 0.941 0.500
O: 0.158 0.499 0.500
O: 0.189 0.080 0.000
O: 0.217 0.717 0.500
O: 0.283 0.217 0.500
O: 0.311 0.580 0.000
O: 0.342 0.999 0.500
O: 0.368 0.441 0.500
O: 0.420 0.311 0.000
O: 0.441 0.632 0.500
O: 0.499 0.842 0.500
O: 0.500 0.000 0.000
O: 0.501 0.158 0.500
O: 0.559 0.368 0.500
O: 0.580 0.689 0.000
O: 0.632 0.559 0.500
O: 0.658 0.001 0.500
O: 0.689 0.420 0.000
O: 0.717 0.783 0.500
O: 0.783 0.283 0.500
O: 0.811 0.920 0.000
O: 0.842 0.501 0.500
O: 0.868 0.059 0.500
O: 0.920 0.189 0.000
O: 0.941 0.868 0.500
O: 0.999 0.658 0.500

=====

[4]
K7NbS6O24 after structural relaxation, computed with GGA-PBEsol.

Energy relative to the elements, uncorrected = -1850 meV per atom

a = 9.315 Å, b = 9.315 Å, c = 9.315 Å
α = 109.51°, β = 109.51°, γ = 109.51°
Fractional coordinates of all 38 atoms:
K: 0.000 0.000 0.000
K: 0.164 0.821 0.663
K: 0.179 0.337 0.836
K: 0.337 0.836 0.179
K: 0.663 0.164 0.821
K: 0.821 0.663 0.164
K: 0.836 0.179 0.337
Nb: 0.500 0.500 0.500
S: 0.115 0.467 0.243
S: 0.243 0.115 0.467
S: 0.467 0.243 0.115
S: 0.533 0.757 0.885
S: 0.757 0.885 0.533
S: 0.885 0.533 0.757
O: 0.030 0.716 0.857
O: 0.069 0.592 0.332
O: 0.138 0.187 0.515
O: 0.143 0.970 0.284
O: 0.187 0.515 0.138
O: 0.264 0.476 0.393
O: 0.284 0.143 0.970
O: 0.332 0.069 0.592
O: 0.393 0.264 0.476
O: 0.408 0.668 0.931
O: 0.476 0.393 0.264
O: 0.485 0.862 0.813
O: 0.515 0.138 0.187
O: 0.524 0.607 0.736
O: 0.592 0.332 0.069
O: 0.607 0.736 0.524
O: 0.668 0.931 0.408
O: 0.716 0.857 0.030
O: 0.736 0.524 0.607
O: 0.813 0.485 0.862
O: 0.857 0.030 0.716
O: 0.862 0.813 0.485
O: 0.931 0.408 0.668
O: 0.970 0.284 0.143

=====

[5]
K4Nb2Si8O23 after structural relaxation, computed with GGA-PBEsol.

Energy relative to the elements, uncorrected = -2668 meV per atom

a = 6.762 Å, b = 7.888 Å, c = 11.003 Å
α = 76.16°, β = 89.90°, γ = 72.30°
Fractional coordinates of all 37 atoms:
K: 0.169 0.324 0.352
K: 0.222 0.254 0.027
K: 0.778 0.746 0.973
K: 0.831 0.676 0.648
Nb: 0.287 0.716 0.800
Nb: 0.713 0.284 0.200
Si: 0.024 0.175 0.732
Si: 0.321 0.696 0.485
Si: 0.325 0.704 0.120
Si: 0.483 0.090 0.719
Si: 0.517 0.910 0.281
Si: 0.675 0.296 0.880
Si: 0.679 0.304 0.515
Si: 0.976 0.825 0.268
O: 0.056 0.959 0.759
O: 0.076 0.745 0.149
O: 0.113 0.588 0.858
O: 0.128 0.697 0.394
O: 0.238 0.722 0.618
O: 0.241 0.224 0.707
O: 0.355 0.745 0.972
O: 0.400 0.856 0.172
O: 0.419 0.856 0.417
O: 0.448 0.493 0.192
O: 0.493 0.124 0.248
O: 0.500 0.500 0.500
O: 0.507 0.876 0.752
O: 0.552 0.507 0.808
O: 0.581 0.144 0.583
O: 0.600 0.144 0.828
O: 0.645 0.255 0.028
O: 0.759 0.776 0.293
O: 0.762 0.278 0.382
O: 0.872 0.303 0.606
O: 0.887 0.412 0.142
O: 0.924 0.255 0.851
O: 0.944 0.041 0.241

=====

[6]
K3Nb3Si2O13 after structural relaxation, computed with GGA-PBEsol.

Energy above the lowest structure with this stoichiometry = 0.000 eV/atom
Energy relative to the elements, uncorrected = -2572 meV per atom

a = 9.165 Å, b = 9.165 Å, c = 7.879 Å
α = 90.00°, β = 90.00°, γ = 120.00°
Fractional coordinates of all 42 atoms:
K: 0.031 0.617 0.250
K: 0.383 0.415 0.250
K: 0.415 0.383 0.750
K: 0.585 0.969 0.250
K: 0.617 0.031 0.750
K: 0.969 0.585 0.750
Nb: 0.000 0.239 0.000
Nb: 0.000 0.239 0.500
Nb: 0.239 0.000 0.000
Nb: 0.239 0.000 0.500
Nb: 0.761 0.761 0.000
Nb: 0.761 0.761 0.500
Si: 0.333 0.667 0.543
Si: 0.333 0.667 0.957
Si: 0.667 0.333 0.043
Si: 0.667 0.333 0.457
O: 0.000 0.824 0.000
O: 0.000 0.824 0.500
O: 0.015 0.262 0.750
O: 0.176 0.176 0.000
O: 0.176 0.176 0.500
O: 0.181 0.488 0.023
O: 0.181 0.488 0.477
O: 0.247 0.985 0.750
O: 0.262 0.015 0.250
O: 0.307 0.819 0.023
O: 0.307 0.819 0.477
O: 0.333 0.667 0.750
O: 0.488 0.181 0.523
O: 0.488 0.181 0.977
O: 0.512 0.693 0.023
O: 0.512 0.693 0.477
O: 0.667 0.333 0.250
O: 0.693 0.512 0.523
O: 0.693 0.512 0.977
O: 0.738 0.753 0.750
O: 0.753 0.738 0.250
O: 0.819 0.307 0.523
O: 0.819 0.307 0.977
O: 0.824 0.000 0.000
O: 0.824 0.000 0.500
O: 0.985 0.247 0.250

=====

[7]
K3Nb3Si2O13 after structural relaxation, computed with GGA-PBEsol.

Energy above the lowest structure with this stoichiometry = 0.006 eV/atom
Energy relative to the elements, uncorrected = -2567 meV per atom

a = 9.169 Å, b = 9.169 Å, c = 7.826 Å
α = 90.00°, β = 90.00°, γ = 120.00°
Fractional coordinates of all 42 atoms:
K: 0.000 0.598 0.000
K: 0.000 0.607 0.500
K: 0.393 0.393 0.500
K: 0.402 0.402 0.000
K: 0.598 0.000 0.000
K: 0.607 0.000 0.500
Nb: 0.000 0.238 0.250
Nb: 0.000 0.238 0.750
Nb: 0.238 0.000 0.250
Nb: 0.238 0.000 0.750
Nb: 0.762 0.762 0.250
Nb: 0.762 0.762 0.750
Si: 0.333 0.667 0.289
Si: 0.333 0.667 0.711
Si: 0.667 0.333 0.289
Si: 0.667 0.333 0.711
O: 0.000 0.227 0.000
O: 0.000 0.278 0.500
O: 0.000 0.825 0.271
O: 0.000 0.825 0.729
O: 0.175 0.175 0.271
O: 0.175 0.175 0.729
O: 0.182 0.486 0.225
O: 0.182 0.486 0.775
O: 0.227 0.000 0.000
O: 0.278 0.000 0.500
O: 0.304 0.818 0.225
O: 0.304 0.818 0.775
O: 0.333 0.667 0.500
O: 0.486 0.182 0.225
O: 0.486 0.182 0.775
O: 0.514 0.696 0.225
O: 0.514 0.696 0.775
O: 0.667 0.333 0.500
O: 0.696 0.514 0.225
O: 0.696 0.514 0.775
O: 0.722 0.722 0.500
O: 0.773 0.773 0.000
O: 0.818 0.304 0.225
O: 0.818 0.304 0.775
O: 0.825 0.000 0.271
O: 0.825 0.000 0.729

=====

[8]
K2SmNb5O15 after structural relaxation, computed with GGA-PBEsol.

Energy relative to the elements, uncorrected = -2633 meV per atom

a = 12.647 Å, b = 12.647 Å, c = 3.927 Å
α = 90.00°, β = 90.00°, γ = 90.00°
Fractional coordinates of all 46 atoms:
K: 0.170 0.330 0.000
K: 0.330 0.830 0.000
K: 0.670 0.170 0.000
K: 0.830 0.670 0.000
Sm: 0.000 0.000 0.000
Sm: 0.500 0.500 0.000
Nb: 0.000 0.500 0.500
Nb: 0.077 0.788 0.500
Nb: 0.212 0.077 0.500
Nb: 0.288 0.577 0.500
Nb: 0.423 0.288 0.500
Nb: 0.500 0.000 0.500
Nb: 0.577 0.712 0.500
Nb: 0.712 0.423 0.500
Nb: 0.788 0.923 0.500
Nb: 0.923 0.212 0.500
O: 0.000 0.500 0.000
O: 0.001 0.342 0.500
O: 0.059 0.131 0.500
O: 0.079 0.813 0.000
O: 0.131 0.941 0.500
O: 0.158 0.499 0.500
O: 0.187 0.079 0.000
O: 0.218 0.718 0.500
O: 0.282 0.218 0.500
O: 0.313 0.579 0.000
O: 0.342 0.999 0.500
O: 0.369 0.441 0.500
O: 0.421 0.313 0.000
O: 0.441 0.631 0.500
O: 0.499 0.842 0.500
O: 0.500 0.000 0.000
O: 0.501 0.158 0.500
O: 0.559 0.369 0.500
O: 0.579 0.687 0.000
O: 0.631 0.559 0.500
O: 0.658 0.001 0.500
O: 0.687 0.421 0.000
O: 0.718 0.782 0.500
O: 0.782 0.282 0.500
O: 0.813 0.921 0.000
O: 0.842 0.501 0.500
O: 0.869 0.059 0.500
O: 0.921 0.187 0.000
O: 0.941 0.869 0.500
O: 0.999 0.658 0.500

=====

Q: Which value of energy relative to the elements, uncorrected does entry 1 give?
A: -2309 meV per atom